Material: K2TlAs
Method: DFT, PBE
State: relaxed

Structure (extended XYZ):
```
4
Lattice="1.8420 1.0635 11.4825 -1.8420 1.0635 11.4825 0.0000 -2.1270 11.4825" Properties=species:S:1:pos:R:3 pbc="T T T"
K 0.0000 0.0000 8.2319
K 0.0000 0.0000 26.2155
Tl 0.0000 0.0000 0.0000
As 0.0000 0.0000 17.2237
```

Values from the calculation:
density = 4.4 g cm⁻³
calculated formation energy = 0.07 eV per atom
ΔE to the lowest computed polymorph = 395 meV/atom